# Tm5PtAu4 (PBE, optimized geometry)
data_Tm5PtAu4
_chemical_formula_sum 'Tm5 Pt1 Au4'
_cell_length_a 3.511
_cell_length_b 3.511
_cell_length_c 17.878
_cell_angle_alpha 90.00
_cell_angle_beta 90.00
_cell_angle_gamma 90.00
_symmetry_space_group_name_H-M 'P 1'
_symmetry_Int_Tables_number 1
loop_
_symmetry_equiv_pos_as_xyz
'x,y,z'
loop_
_atom_site_label
_atom_site_type_symbol
_atom_site_fract_x
_atom_site_fract_y
_atom_site_fract_z
Tm1 Tm 0.000 0.000 0.000
Tm2 Tm 0.000 0.000 0.203
Tm3 Tm 0.000 0.000 0.406
Tm4 Tm 0.000 0.000 0.594
Tm5 Tm 0.000 0.000 0.797
Pt1 Pt 0.500 0.500 0.500
Au1 Au 0.500 0.500 0.101
Au2 Au 0.500 0.500 0.302
Au3 Au 0.500 0.500 0.698
Au4 Au 0.500 0.500 0.899
# * calculated formation energy: -0.97 eV/atom
# * energy: -51.26 eV per cell
# * crystal system: tetragonal
# * D(E_F): 0.34 states/eV per atom

=====

# LiCaDyHg (PBE, optimized geometry)
data_LiCaDyHg
_chemical_formula_sum 'Li1 Ca1 Dy1 Hg1'
_cell_length_a 5.275
_cell_length_b 5.275
_cell_length_c 5.275
_cell_angle_alpha 60.00
_cell_angle_beta 60.00
_cell_angle_gamma 60.00
_symmetry_space_group_name_H-M 'P 1'
_symmetry_Int_Tables_number 1
loop_
_symmetry_equiv_pos_as_xyz
'x,y,z'
loop_
_atom_site_label
_atom_site_type_symbol
_atom_site_fract_x
_atom_site_fract_y
_atom_site_fract_z
Li1 Li 0.000 0.000 0.000
Ca1 Ca 0.250 0.250 0.250
Dy1 Dy 0.750 0.750 0.750
Hg1 Hg 0.500 0.500 0.500
# * calculated formation energy: -0.25 eV/atom
# * energy: -9.80 eV per cell
# * crystal system: cubic
# * D(E_F): 0.91 states/eV per atom

=====

# Sr4HgPb2 (PBE, optimized geometry)
data_Sr4HgPb2
_chemical_formula_sum 'Sr4 Hg1 Pb2'
_cell_length_a 9.944
_cell_length_b 9.944
_cell_length_c 9.944
_cell_angle_alpha 33.60
_cell_angle_beta 33.60
_cell_angle_gamma 33.60
_symmetry_space_group_name_H-M 'P 1'
_symmetry_Int_Tables_number 1
loop_
_symmetry_equiv_pos_as_xyz
'x,y,z'
loop_
_atom_site_label
_atom_site_type_symbol
_atom_site_fract_x
_atom_site_fract_y
_atom_site_fract_z
Sr1 Sr 0.124 0.124 0.124
Sr2 Sr 0.374 0.374 0.374
Sr3 Sr 0.626 0.626 0.626
Sr4 Sr 0.876 0.876 0.876
Hg1 Hg 0.000 0.000 0.000
Pb1 Pb 0.248 0.248 0.248
Pb2 Pb 0.752 0.752 0.752
# * calculated formation energy: -0.56 eV/atom
# * energy: -18.40 eV per cell
# * crystal system: trigonal

=====

# CeEr2Bi (PBE, optimized geometry)
data_CeEr2Bi
_chemical_formula_sum 'Ce1 Er2 Bi1'
_cell_length_a 11.114
_cell_length_b 11.114
_cell_length_c 11.114
_cell_angle_alpha 18.51
_cell_angle_beta 18.51
_cell_angle_gamma 18.51
_symmetry_space_group_name_H-M 'P 1'
_symmetry_Int_Tables_number 1
loop_
_symmetry_equiv_pos_as_xyz
'x,y,z'
loop_
_atom_site_label
_atom_site_type_symbol
_atom_site_fract_x
_atom_site_fract_y
_atom_site_fract_z
Ce1 Ce 0.000 0.000 0.000
Er1 Er 0.580 0.580 0.580
Er2 Er 0.754 0.754 0.754
Bi1 Bi 0.167 0.167 0.167
# * relative energy among the computed polymorphs: 0.194 eV/atom
# * calculated formation energy: -0.12 eV/atom
# * energy: -19.44 eV per cell
# * crystal system: trigonal
# * D(E_F): 1.92 states/eV per atom

=====

# Ce4ScZn5 (PBE, optimized geometry)
data_Ce4ScZn5
_chemical_formula_sum 'Ce4 Sc1 Zn5'
_cell_length_a 3.132
_cell_length_b 3.132
_cell_length_c 21.601
_cell_angle_alpha 90.00
_cell_angle_beta 90.00
_cell_angle_gamma 90.00
_symmetry_space_group_name_H-M 'P 1'
_symmetry_Int_Tables_number 1
loop_
_symmetry_equiv_pos_as_xyz
'x,y,z'
loop_
_atom_site_label
_atom_site_type_symbol
_atom_site_fract_x
_atom_site_fract_y
_atom_site_fract_z
Ce1 Ce 0.000 0.000 0.104
Ce2 Ce 0.000 0.000 0.311
Ce3 Ce 0.000 0.000 0.689
Ce4 Ce 0.000 0.000 0.896
Sc1 Sc 0.000 0.000 0.500
Zn1 Zn 0.500 0.500 0.000
Zn2 Zn 0.500 0.500 0.207
Zn3 Zn 0.500 0.500 0.414
Zn4 Zn 0.500 0.500 0.586
Zn5 Zn 0.500 0.500 0.793
# * calculated formation energy: -0.23 eV/atom
# * energy: -38.69 eV per cell
# * crystal system: tetragonal
# * D(E_F): 1.75 states/eV per atom

=====

# Np2MnFe3B12 (PBE, optimized geometry)
data_Np2MnFe3B12
_chemical_formula_sum 'Np2 Mn1 Fe3 B12'
_cell_length_a 7.980
_cell_length_b 7.980
_cell_length_c 7.980
_cell_angle_alpha 39.20
_cell_angle_beta 39.20
_cell_angle_gamma 39.20
_symmetry_space_group_name_H-M 'P 1'
_symmetry_Int_Tables_number 1
loop_
_symmetry_equiv_pos_as_xyz
'x,y,z'
loop_
_atom_site_label
_atom_site_type_symbol
_atom_site_fract_x
_atom_site_fract_y
_atom_site_fract_z
Np1 Np 0.142 0.142 0.142
Np2 Np 0.858 0.858 0.858
Mn1 Mn 0.500 0.500 0.500
Fe1 Fe 0.000 0.500 0.500
Fe2 Fe 0.500 0.000 0.500
Fe3 Fe 0.500 0.500 0.000
B1 B 0.152 0.152 0.478
B2 B 0.152 0.478 0.152
B3 B 0.178 0.553 0.553
B4 B 0.447 0.447 0.822
B5 B 0.447 0.822 0.447
B6 B 0.478 0.152 0.152
B7 B 0.522 0.848 0.848
B8 B 0.553 0.178 0.553
B9 B 0.553 0.553 0.178
B10 B 0.822 0.447 0.447
B11 B 0.848 0.522 0.848
B12 B 0.848 0.848 0.522
# * calculated formation energy: 0.08 eV/atom
# * energy: -139.07 eV per cell
# * crystal system: trigonal
# * D(E_F): 0.66 states/eV per atom

=====

> Which formula does entry 4 have?

CeEr2Bi